## Pa2BeBIr6 (PBE-GGA)

Data for a relaxed structure of Pa2BeBIr6.

crystal system: tetragonal
volume: 15.75 Å³ per atom
formation energy: -0.55 eV per atom

The structure in CIF format:
```
data_Pa2BeBIr6
_space_group_name_H-M_alt 'P 1'
_space_group_IT_number 1
_space_group_name_Hall 'P 1'
_cell_length_a 6.058
_cell_length_b 6.057
_cell_length_c 6.065
_cell_angle_alpha 60.04
_cell_angle_beta 60.04
_cell_angle_gamma 90.01
loop_
_atom_site_label
_atom_site_type_symbol
_atom_site_fract_x
_atom_site_fract_y
_atom_site_fract_z
_atom_site_occupancy
Ir1 Ir 0.746 0.746 0.000 1
Pa1 Pa 0.750 0.250 0.500 1
Ir2 Ir 0.254 0.254 0.491 1
Be1 Be 0.000 0.000 0.000 1
Pa2 Pa 0.250 0.750 0.500 1
Ir3 Ir 0.746 0.254 0.000 1
Ir4 Ir 0.254 0.254 0.000 1
Ir5 Ir 0.254 0.746 0.000 1
B1 B 0.500 0.500 0.000 1
Ir6 Ir 0.746 0.746 0.509 1
```

***

## NaPrSn (PBE-GGA)

Data for a relaxed structure of NaPrSn.

crystal system: monoclinic
volume: 32.20 Å³ per atom
formation energy: -0.34 eV per atom

The structure in CIF format:
```
data_NaPrSn
_space_group_name_H-M_alt 'P 1'
_space_group_IT_number 1
_space_group_name_Hall 'P 1'
_cell_length_a 4.846
_cell_length_b 6.224
_cell_length_c 7.511
_cell_angle_alpha 72.22
_cell_angle_beta 71.14
_cell_angle_gamma 67.04
loop_
_atom_site_label
_atom_site_type_symbol
_atom_site_fract_x
_atom_site_fract_y
_atom_site_fract_z
_atom_site_occupancy
Pr1 Pr 0.639 0.377 0.222 1
Sn1 Sn 0.920 0.808 0.230 1
Sn2 Sn 0.216 0.533 0.912 1
Pr2 Pr 0.497 0.964 0.920 1
Na1 Na 0.894 0.442 0.648 1
Na2 Na 0.242 0.900 0.494 1
```